[1]
The following is a GGA-PBE calculation of a geometry-optimized LaTeP structure, from the Alexandria database.

**Density**: 5.11 Mg/m³
**Raw formation energy**: -0.580 eV per atom
**Size of the total moment**: 0.02 μB/f.u.
**Calculated total energy**: -5.07 eV/atom

Unit cell a=5.1500 b=5.1500 c=5.1500 alpha=60.00 beta=60.00 gamma=60.00
Closest atoms and distances in Å follow each position.
Sites, in units of the cell vectors:
1 La 0.0000 0.0000 0.0000  4 Te 3.15, 4 P 3.15
2 Te 0.7500 0.7500 0.7500  4 La 3.15
3 P 0.2500 0.2500 0.2500  4 La 3.15

[2]
The following is a GGA-PBE calculation of a geometry-optimized Al2Tl structure, from the Alexandria database.

**Polymorph energy (0 for the lowest one)**: 0.0648 eV/atom
**Density**: 6.18 Mg/m³
**Size of the total moment**: 0.00 μB/f.u.
**Energy of formation from the pure elements**: 0.24 eV per atom
**Calculated total energy**: -3.04 eV/atom

Unit cell a=5.6472 b=4.5433 c=10.8296 alpha=90.00 beta=90.00 gamma=90.00
Closest atoms and distances in Å follow each position.
Sites, in units of the cell vectors:
1 Al 0.0254 0.2500 0.1967  5 Al 2.76-3.05, 2 Tl 3.02
2 Al 0.0681 0.2500 0.9401  5 Al 2.73-2.79, 2 Tl 2.86-2.95
3 Al 0.4319 0.7500 0.4401  5 Al 2.73-2.79, 2 Tl 2.86-2.95
4 Al 0.4746 0.7500 0.6967  5 Al 2.76-3.05, 2 Tl 3.02
5 Al 0.5254 0.2500 0.3033  5 Al 2.76-3.05, 2 Tl 3.02
6 Al 0.5681 0.2500 0.5599  5 Al 2.73-2.79, 2 Tl 2.86-2.95
7 Al 0.9319 0.7500 0.0599  5 Al 2.73-2.79, 2 Tl 2.86-2.95
8 Al 0.9746 0.7500 0.8033  5 Al 2.76-3.05, 2 Tl 3.02
9 Tl 0.0600 0.2500 0.6246  4 Al 2.86-3.02
10 Tl 0.4400 0.7500 0.1246  4 Al 2.86-3.02
11 Tl 0.5600 0.2500 0.8754  4 Al 2.86-3.02
12 Tl 0.9400 0.7500 0.3754  4 Al 2.86-3.02

[3]
The following is a GGA-PBE calculation of a geometry-optimized VCrHg2H structure, from the Alexandria database.

**Density**: 9.29 Mg/m³
**Size of the total moment**: 6.48 μB/f.u.
**Calculated total energy**: -3.86 eV/atom

Unit cell a=5.3146 b=5.3146 c=3.1982 alpha=90.00 beta=90.00 gamma=90.00
Closest atoms and distances in Å follow each position.
Sites, in units of the cell vectors:
1 V 0.0000 0.0000 0.0000  8 Hg 3.10, 2 V 3.20
2 Cr 0.5000 0.5000 0.5000  2 H 1.60
3 Hg 0.0000 0.5000 0.5000  2 Cr 2.66
4 Hg 0.5000 0.0000 0.5000  2 Cr 2.66
5 H 0.5000 0.5000 0.0000  2 Cr 1.60

[4]
The following is a GGA-PBE calculation of a geometry-optimized SiRh2W structure, from the Alexandria database.

**Density**: 12.05 Mg/m³
**Raw formation energy**: -0.284 eV per atom
**Size of the total moment**: 0.00 μB/f.u.
**Calculated total energy**: -8.55 eV/atom

Unit cell a=3.9754 b=5.3627 c=5.3627 alpha=30.24 beta=90.00 gamma=90.00
Closest atoms and distances in Å follow each position.
Sites, in units of the cell vectors:
1 Si 0.0000 0.0000 0.0000  3 Rh 2.34-2.48
2 Rh 0.0000 0.2391 0.2391  1 Si 2.48, 4 W 2.73
3 Rh 0.5000 0.8804 0.8804  2 Si 2.34
4 W 0.5000 0.6191 0.6191  7 Rh 2.71-2.84, 4 Si 2.73, 2 W 2.80

[5]
The following is a GGA-PBE calculation of a geometry-optimized Tb2DyHg4 structure, from the Alexandria database.

**Polymorph energy (0 for the lowest one)**: 0.0000 eV/atom
**Density**: 10.86 Mg/m³
**Size of the total moment**: 0.00 μB/f.u.
**Energy of formation from the pure elements**: -0.34 eV per atom
**Calculated total energy**: -2.49 eV/atom

Unit cell a=9.1994 b=9.1994 c=9.1994 alpha=32.18 beta=32.18 gamma=32.18
Closest atoms and distances in Å follow each position.
Sites, in units of the cell vectors:
1 Tb 0.2443 0.2443 0.2443  8 Hg 3.08-3.40
2 Tb 0.7557 0.7557 0.7557  8 Hg 3.08-3.40
3 Dy 0.0000 0.0000 0.0000  8 Hg 3.13-3.31
4 Hg 0.1265 0.1265 0.1265  4 Tb 3.08-3.10, 1 Dy 3.31
5 Hg 0.3745 0.3745 0.3745  3 Dy 3.13, 4 Tb 3.20-3.40
6 Hg 0.6255 0.6255 0.6255  3 Dy 3.13, 4 Tb 3.20-3.40
7 Hg 0.8735 0.8735 0.8735  4 Tb 3.08-3.10, 1 Dy 3.31

[6]
The following is a GGA-PBE calculation of a geometry-optimized BiSb2Pt2 structure, from the Alexandria database.

**Polymorph energy (0 for the lowest one)**: 0.1897 eV/atom
**Density**: 12.37 Mg/m³
**Raw formation energy**: 0.047 eV per atom
**Size of the total moment**: 0.00 μB/f.u.
**Calculated total energy**: -4.79 eV/atom

Unit cell a=8.3274 b=8.3274 c=3.2628 alpha=90.00 beta=90.00 gamma=90.00
Closest atoms and distances in Å follow each position.
Sites, in units of the cell vectors:
1 Bi 0.0000 0.0000 0.0000  4 Sb 3.14, 2 Bi 3.26
2 Bi 0.5000 0.5000 0.0000  4 Sb 3.14, 2 Bi 3.26
3 Sb 0.1574 0.3426 0.0000  6 Pt 2.89-3.02, 2 Bi 3.14
4 Sb 0.3426 0.8426 0.0000  6 Pt 2.89-3.02, 2 Bi 3.14
5 Sb 0.6574 0.1574 0.0000  6 Pt 2.89-3.02, 2 Bi 3.14
6 Sb 0.8426 0.6574 0.0000  6 Pt 2.89-3.02, 2 Bi 3.14
7 Pt 0.1269 0.6269 0.5000  6 Sb 2.89-3.02, 1 Pt 2.99
8 Pt 0.3731 0.1269 0.5000  6 Sb 2.89-3.02, 1 Pt 2.99
9 Pt 0.6269 0.8731 0.5000  6 Sb 2.89-3.02, 1 Pt 2.99
10 Pt 0.8731 0.3731 0.5000  6 Sb 2.89-3.02, 1 Pt 2.99

[7]
The following is a GGA-PBE calculation of a geometry-optimized La3TbDy7 structure, from the Alexandria database.

**Polymorph energy (0 for the lowest one)**: 0.0517 eV/atom
**Density**: 7.40 Mg/m³
**Size of the total moment**: 0.00 μB/f.u.
**Energy of formation from the pure elements**: 0.17 eV per atom
**Calculated total energy**: -4.52 eV/atom

Unit cell a=7.1070 b=7.1070 c=8.7918 alpha=90.00 beta=90.00 gamma=120.00
Closest atoms and distances in Å follow each position.
Sites, in units of the cell vectors:
1 La 0.9998 0.4999 0.0000  4 La 3.55-3.56, 5 Dy 3.62-3.63, 1 Tb 3.63
2 La 0.5001 0.0002 0.0000  4 La 3.55-3.56, 5 Dy 3.62-3.63, 1 Tb 3.63
3 La 0.5001 0.4999 0.0000  4 La 3.55-3.56, 5 Dy 3.62-3.63, 1 Tb 3.63
4 Tb 0.3333 0.6667 0.6592  9 Dy 3.47-3.55, 3 La 3.63
5 Dy 0.1673 0.3346 0.3399  1 Tb 3.47, 8 Dy 3.48-3.57, 2 La 3.62
6 Dy 0.1673 0.8327 0.3399  1 Tb 3.47, 8 Dy 3.48-3.57, 2 La 3.62
7 Dy 0.3347 0.1674 0.6595  7 Dy 3.47-3.57, 2 Tb 3.55, 2 La 3.63
8 Dy 0.6654 0.8327 0.3399  1 Tb 3.47, 8 Dy 3.48-3.57, 2 La 3.62
9 Dy 0.6667 0.3333 0.3407  9 Dy 3.47-3.55, 3 La 3.63
10 Dy 0.8326 0.1674 0.6595  7 Dy 3.47-3.57, 2 Tb 3.55, 2 La 3.63
11 Dy 0.8326 0.6653 0.6595  7 Dy 3.47-3.57, 2 Tb 3.55, 2 La 3.63

[8]
The following is a GGA-PBE calculation of a geometry-optimized Er5Cu4Ni structure, from the Alexandria database.

**Density**: 9.56 Mg/m³
**Size of the total moment**: 0.00 μB/f.u.
**Energy of formation from the pure elements**: -0.31 eV per atom
**Calculated total energy**: -4.81 eV/atom

Unit cell a=3.3993 b=3.3993 c=17.2805 alpha=90.00 beta=90.00 gamma=90.00
Closest atoms and distances in Å follow each position.
Sites, in units of the cell vectors:
1 Er 0.0000 0.0000 0.0000  8 Cu 2.97
2 Er 0.0000 0.0000 0.2026  8 Cu 2.96-2.98
3 Er 0.0000 0.0000 0.4051  4 Ni 2.91, 4 Cu 2.98
4 Er 0.0000 0.0000 0.5949  4 Ni 2.91, 4 Cu 2.98
5 Er 0.0000 0.0000 0.7974  8 Cu 2.96-2.98
6 Cu 0.5000 0.5000 0.1007  8 Er 2.97-2.98
7 Cu 0.5000 0.5000 0.3030  8 Er 2.96-2.98
8 Cu 0.5000 0.5000 0.6970  8 Er 2.96-2.98
9 Cu 0.5000 0.5000 0.8993  8 Er 2.97-2.98
10 Ni 0.5000 0.5000 0.5000  8 Er 2.91

[9]
The following is a GGA-PBE calculation of a geometry-optimized RbMn2CuBr8 structure, from the Alexandria database.

**Density**: 3.84 Mg/m³
**Raw formation energy**: -0.747 eV per atom
**Size of the total moment**: 8.00 μB/f.u.
**Calculated total energy**: -3.81 eV/atom

Unit cell a=6.8588 b=6.8588 c=9.5267 alpha=90.00 beta=90.00 gamma=120.00
Closest atoms and distances in Å follow each position.
Sites, in units of the cell vectors:
1 Rb 0.0000 0.0000 0.0000  12 Br 3.83-3.96
2 Mn 0.3333 0.6667 0.7308  4 Br 2.38-2.43
3 Mn 0.6667 0.3333 0.2692  4 Br 2.38-2.43
4 Cu 0.0000 0.0000 0.5000  6 Br 2.60
5 Br 0.0103 0.3096 0.6625  1 Mn 2.43, 1 Cu 2.60
6 Br 0.2993 0.9897 0.6625  1 Mn 2.43, 1 Cu 2.60
7 Br 0.3096 0.2993 0.3375  1 Mn 2.43, 1 Cu 2.60
8 Br 0.3333 0.6667 0.9811  1 Mn 2.38
9 Br 0.6667 0.3333 0.0189  1 Mn 2.38
10 Br 0.6904 0.7007 0.6625  1 Mn 2.43, 1 Cu 2.60
11 Br 0.7007 0.0103 0.3375  1 Mn 2.43, 1 Cu 2.60
12 Br 0.9897 0.6904 0.3375  1 Mn 2.43, 1 Cu 2.60

[10]
The following is a GGA-PBE calculation of a geometry-optimized Er6PdRu5 structure, from the Alexandria database.

**Density**: 11.54 Mg/m³
**Size of the total moment**: 0.00 μB/f.u.
**Energy of formation from the pure elements**: -0.50 eV per atom
**Calculated total energy**: -7.08 eV/atom

Unit cell a=7.5460 b=7.5460 c=6.7856 alpha=90.00 beta=90.00 gamma=143.00
Closest atoms and distances in Å follow each position.
Sites, in units of the cell vectors:
1 Er 0.0000 0.0000 0.2443  6 Ru 2.90-2.94, 2 Pd 2.96
2 Er 0.0000 0.0000 0.7557  6 Ru 2.90-2.94, 2 Pd 2.96
3 Er 0.3308 0.6692 0.2474  7 Ru 2.90-2.95, 1 Pd 2.97
4 Er 0.3308 0.6692 0.7526  7 Ru 2.90-2.95, 1 Pd 2.97
5 Er 0.6692 0.3308 0.2474  7 Ru 2.90-2.95, 1 Pd 2.97
6 Er 0.6692 0.3308 0.7526  7 Ru 2.90-2.95, 1 Pd 2.97
7 Pd 0.5000 0.5000 0.5000  8 Er 2.96-2.97
8 Ru 0.1655 0.8345 0.5000  8 Er 2.92-2.94
9 Ru 0.1658 0.8342 0.0000  8 Er 2.90-2.92
10 Ru 0.5000 0.5000 0.0000  8 Er 2.91-2.95
11 Ru 0.8342 0.1658 0.0000  8 Er 2.90-2.92
12 Ru 0.8345 0.1655 0.5000  8 Er 2.92-2.94

[11]
The following is a GGA-PBE calculation of a geometry-optimized KGaHg2Pt structure, from the Alexandria database.

**Density**: 8.30 Mg/m³
**Size of the total moment**: 0.00 μB/f.u.
**Energy of formation from the pure elements**: -0.31 eV per atom
**Calculated total energy**: -2.46 eV/atom

Unit cell a=5.4001 b=5.4001 c=4.8365 alpha=90.00 beta=90.00 gamma=90.00
Closest atoms and distances in Å follow each position.
Sites, in units of the cell vectors:
1 K 0.0000 0.0000 0.0000  8 Hg 3.62, 4 Ga 3.82
2 Ga 0.5000 0.5000 0.0000  2 Pt 2.42
3 Hg 0.0000 0.5000 0.5000  2 Pt 2.70
4 Hg 0.5000 0.0000 0.5000  2 Pt 2.70
5 Pt 0.5000 0.5000 0.5000  2 Ga 2.42, 4 Hg 2.70

[12]
The following is a GGA-PBE calculation of a geometry-optimized Ca2POs structure, from the Alexandria database.

**Density**: 6.78 Mg/m³
**Size of the total moment**: 0.00 μB/f.u.
**Energy of formation from the pure elements**: 0.19 eV per atom
**Calculated total energy**: -4.97 eV/atom

Unit cell a=4.7077 b=4.7077 c=4.7077 alpha=60.00 beta=60.00 gamma=60.00
Closest atoms and distances in Å follow each position.
Sites, in units of the cell vectors:
1 Ca 0.0000 0.0000 0.0000  4 Os 2.88, 4 Ca 2.88
2 Ca 0.2500 0.2500 0.2500  4 Ca 2.88, 4 P 2.88
3 P 0.5000 0.5000 0.5000  4 Ca 2.88, 4 Os 2.88
4 Os 0.7500 0.7500 0.7500  4 P 2.88, 4 Ca 2.88